A plane-wave DFT calculation with GGA-PBE was carried out for a geometry-optimized TbErAsSe structure.

The structure belongs to space group R3m (No. 160, hexagonal axes); the cell edges are 4.0180, 4.0180 and 21.2034 Å and the angles 90.00°, 90.00° and 120.00°. Symmetry generates all atoms from Tb at (0.0000, 0.0000, 0.0000), Er at (0.0000, 0.0000, 0.1805), As at (0.0000, 0.0000, 0.5905) and Se at (0.0000, 0.0000, 0.4235).

The formation energy without anion corrections comes out at -1617 meV per atom. For the size of the total moment, the calculation gives 0.00 μB per formula unit. The uncorrected energy comes out at -5.9483 eV/atom.

***

A plane-wave DFT calculation with GGA-PBE was carried out for a geometry-optimized BeHPd2 structure.

The structure belongs to space group P1 (No. 1); the cell edges are 2.760, 2.812 and 5.540 Å and the angles 94.49°, 90.27° and 90.18°. Symmetry generates all atoms from Be at (0.000, 0.000, 0.000), H at (0.000, 0.502, 0.500), Pd at (0.499, 0.471, 0.747) and Pd at (0.501, 0.530, 0.253).

For the size of the total moment, the calculation gives 0.00 μB per formula unit. The uncorrected energy comes out at -4.7044 eV/atom.

***

A plane-wave DFT calculation with GGA-PBE was carried out for a geometry-optimized YTm2ThAs4 structure.

The structure belongs to space group P2/m (No. 10); the cell edges are 7.140, 4.138 and 7.150 Å and the angles 90.00°, 109.50° and 90.00°. Symmetry generates all atoms from Y at (0.000, 0.000, 0.000), Tm at (0.500, 0.000, 0.500), Tm at (0.500, 0.500, 0.000), Th at (0.000, 0.500, 0.500), As at (0.256, 0.500, 0.250) and As at (0.259, 0.000, 0.757).

The value obtained for the formation enthalpy at 0 K is -144.8 kJ/mol of atoms. For the size of the total moment, the calculation gives 0.00 μB per formula unit. The uncorrected energy comes out at -6.6786 eV/atom.

***

A plane-wave DFT calculation with GGA-PBE was carried out for a geometry-optimized Cs2UInI6 structure.

The structure belongs to space group Pmmn (No. 59, origin choice 2); the cell edges are 8.888, 12.944 and 9.594 Å and the angles 90.00°, 90.00° and 90.00°. Symmetry generates all atoms from Cs at (0.250, 0.034, 0.198), U at (0.250, 0.750, 0.782), In at (0.250, 0.250, 0.714), I at (0.008, 0.750, 0.020), I at (0.009, 0.250, 0.436) and I at (0.250, 0.509, 0.785).

The formation energy without anion corrections comes out at -1037 meV per atom. For the size of the total moment, the calculation gives 3.00 μB per formula unit. The uncorrected energy comes out at -3.5406 eV/atom.

***

A plane-wave DFT calculation with GGA-PBE was carried out for a geometry-optimized YHoSn2 structure.

The structure belongs to space group P4/mmm (No. 123); the cell edges are 4.900, 4.900 and 4.397 Å and the angles 90.00°, 90.00° and 90.00°. Symmetry generates all atoms from Y at (0.000, 0.000, 0.000), Ho at (0.500, 0.500, 0.000) and Sn at (0.000, 0.500, 0.500).

The value obtained for the formation enthalpy at 0 K is -59.5 kJ/mol of atoms. For the size of the total moment, the calculation gives 0.00 μB per formula unit. The uncorrected energy comes out at -5.3790 eV/atom.

***

A plane-wave DFT calculation with GGA-PBE was carried out for a geometry-optimized RbBiSb3 structure.

The structure belongs to space group Pm-3m (No. 221); the cell edges are 5.918, 5.918 and 5.918 Å and the angles 90.00°, 90.00° and 90.00°. Symmetry generates all atoms from Rb at (0.000, 0.000, 0.000), Bi at (0.500, 0.500, 0.500) and Sb at (0.000, 0.000, 0.500).

The formation energy without anion corrections comes out at 1420 meV per atom. For the size of the total moment, the calculation gives 0.00 μB per formula unit. The uncorrected energy comes out at -2.0231 eV/atom.

***

A plane-wave DFT calculation with GGA-PBE was carried out for a geometry-optimized LaCd2As2 structure.

The structure belongs to space group I4/mmm (No. 139); the cell edges are 5.062, 5.062 and 9.688 Å and the angles 90.00°, 90.00° and 90.00°. Symmetry generates all atoms from La at (0.000, 0.000, 0.000), Cd at (0.000, 0.000, 0.362) and As at (0.000, 0.500, 0.250).

The value obtained for the formation enthalpy at 0 K is -41.0 kJ/mol of atoms. For the size of the total moment, the calculation gives 0.00 μB per formula unit. The uncorrected energy comes out at -3.6364 eV/atom.

***

A plane-wave DFT calculation with GGA-PBE was carried out for a geometry-optimized IrSe5 structure.

The structure belongs to space group Cm (No. 8); the cell edges are 14.431, 3.713 and 5.697 Å and the angles 90.00°, 110.33° and 90.00°. Symmetry generates all atoms from Ir at (0.000, 0.000, 0.000), Se at (0.097, 0.500, 0.923), Se at (0.102, 0.000, 0.429), Se at (0.235, 0.500, 0.453), Se at (0.374, 0.000, 0.466) and Se at (0.385, 0.000, 0.013).

The formation energy without anion corrections comes out at 54 meV per atom. For the size of the total moment, the calculation gives 0.00 μB per formula unit. The uncorrected energy comes out at -4.3269 eV/atom.

***

A plane-wave DFT calculation with GGA-PBE was carried out for a geometry-optimized SrTaBe2 structure.

The structure belongs to space group P4mm (No. 99); the cell edges are 2.899, 2.899 and 8.043 Å and the angles 90.00°, 90.00° and 90.00°. Symmetry generates all atoms from Sr at (0.000, 0.000, 0.000), Ta at (0.500, 0.500, 0.364), Be at (0.000, 0.000, 0.575) and Be at (0.500, 0.500, 0.698).

The value obtained for the formation enthalpy at 0 K is 53.8 kJ/mol of atoms. For the size of the total moment, the calculation gives 0.00 μB per formula unit. The uncorrected energy comes out at -4.6889 eV/atom.

***

A plane-wave DFT calculation with GGA-PBE was carried out for a geometry-optimized Pr12Al3H5 structure.

The structure belongs to space group Ia-3d (No. 230); the cell edges are 16.111, 16.111 and 16.111 Å and the angles 90.00°, 90.00° and 90.00°. Symmetry generates all atoms from Pr at (0.038, 0.058, 0.651), Al at (0.000, 0.250, 0.125), H at (0.000, 0.000, 0.000) and H at (0.000, 0.250, 0.375).

For the size of the total moment, the calculation gives 0.00 μB per formula unit. The uncorrected energy comes out at -4.4635 eV/atom.

***

A plane-wave DFT calculation with GGA-PBE was carried out for a geometry-optimized GaReH3 structure.

The structure belongs to space group Pm-3m (No. 221); the cell edges are 3.429, 3.429 and 3.429 Å and the angles 90.00°, 90.00° and 90.00°. Symmetry generates all atoms from Ga at (0.000, 0.000, 0.000), Re at (0.500, 0.500, 0.500) and H at (0.000, 0.000, 0.500).

For the size of the total moment, the calculation gives 0.00 μB per formula unit. The uncorrected energy comes out at -3.8756 eV/atom.

***

A plane-wave DFT calculation with GGA-PBE was carried out for a geometry-optimized NdInAg structure.

The structure belongs to space group I4mm (No. 107); the cell edges are 3.412, 3.412 and 15.529 Å and the angles 90.00°, 90.00° and 90.00°. Symmetry generates all atoms from Nd at (0.000, 0.000, 0.000), In at (0.000, 0.000, 0.206) and Ag at (0.000, 0.000, 0.809).

The value obtained for the formation enthalpy at 0 K is 31.7 kJ/mol of atoms. For the size of the total moment, the calculation gives 0.00 μB per formula unit. The uncorrected energy comes out at -3.1241 eV/atom.

***

A plane-wave DFT calculation with GGA-PBE was carried out for a geometry-optimized Ba3Sr8Ca2 structure.

The structure belongs to space group R-3m (No. 166, hexagonal axes); the cell edges are 7.7567, 7.7567 and 44.5866 Å and the angles 90.00°, 90.00° and 120.00°. Symmetry generates all atoms from Ba at (0.0000, 0.0000, 0.0000), Ba at (0.0000, 0.0000, 0.1832), Sr at (0.0000, 0.0000, 0.2766), Sr at (0.0004, 0.5002, 0.2323) and Ca at (0.0000, 0.0000, 0.3613).

The value obtained for the formation enthalpy at 0 K is 14.0 kJ/mol of atoms. For the size of the total moment, the calculation gives 0.17 μB per formula unit. The uncorrected energy comes out at -1.6414 eV/atom.

***

A plane-wave DFT calculation with GGA-PBE was carried out for a geometry-optimized KLi2As structure.

The structure belongs to space group I-4m2 (No. 119); the cell edges are 4.884, 4.884 and 7.673 Å and the angles 90.00°, 90.00° and 90.00°. Symmetry generates all atoms from K at (0.000, 0.000, 0.000), Li at (0.000, 0.000, 0.500), Li at (0.000, 0.500, 0.750) and As at (0.000, 0.500, 0.250).

The value obtained for the formation enthalpy at 0 K is -24.4 kJ/mol of atoms. For the size of the total moment, the calculation gives 0.00 μB per formula unit. The uncorrected energy comes out at -2.6460 eV/atom.

***

A plane-wave DFT calculation with GGA-PBE was carried out for a geometry-optimized K2VHgS4 structure.

The structure belongs to space group I-4 (No. 82); the cell edges are 7.459, 7.459 and 8.179 Å and the angles 90.00°, 90.00° and 90.00°. Symmetry generates all atoms from K at (0.000, 0.000, 0.000), K at (0.000, 0.500, 0.250), V at (0.000, 0.500, 0.750), Hg at (0.000, 0.000, 0.500) and S at (0.151, 0.696, 0.606).

The formation energy without anion corrections comes out at -835 meV per atom. For the size of the total moment, the calculation gives 0.00 μB per formula unit. The uncorrected energy comes out at -4.3503 eV/atom.

***

A plane-wave DFT calculation with GGA-PBE was carried out for a geometry-optimized Ti3AlIr structure.

The structure belongs to space group Pm-3m (No. 221); the cell edges are 4.737, 4.737 and 4.737 Å and the angles 90.00°, 90.00° and 90.00°. Symmetry generates all atoms from Ti at (0.000, 0.000, 0.500), Al at (0.500, 0.500, 0.500) and Ir at (0.000, 0.000, 0.000).

The value obtained for the formation enthalpy at 0 K is 25.5 kJ/mol of atoms. For the size of the total moment, the calculation gives 0.00 μB per formula unit. The uncorrected energy comes out at -6.9931 eV/atom.

***

A plane-wave DFT calculation with GGA-PBE was carried out for a geometry-optimized ZrAsI structure.

The structure belongs to space group P2_1 (No. 4); the cell edges are 3.628, 6.537 and 9.194 Å and the angles 90.00°, 101.27° and 90.00°. Symmetry generates all atoms from Zr at (0.052, 0.000, 0.106), As at (0.467, 0.193, 0.934) and I at (0.326, 0.607, 0.649).

The formation energy without anion corrections comes out at -748 meV per atom. For the size of the total moment, the calculation gives 0.00 μB per formula unit. The uncorrected energy comes out at -5.6641 eV/atom.

***

A plane-wave DFT calculation with GGA-PBE was carried out for a geometry-optimized Mg2SiP structure.

The structure belongs to space group P2/m (No. 10); the cell edges are 3.561, 3.501 and 5.657 Å and the angles 90.00°, 90.31° and 90.00°. Symmetry generates all atoms from Mg at (0.002, 0.000, 0.257), Si at (0.500, 0.500, 0.000) and P at (0.500, 0.500, 0.500).

The formation energy without anion corrections comes out at -27 meV per atom. For the size of the total moment, the calculation gives 0.00 μB per formula unit. The uncorrected energy comes out at -3.5330 eV/atom.

***

A plane-wave DFT calculation with GGA-PBE was carried out for a geometry-optimized Hf8MnAu2 structure.

The structure belongs to space group C2/m (No. 12); the cell edges are 15.483, 4.785 and 6.153 Å and the angles 90.00°, 98.03° and 90.00°. Symmetry generates all atoms from Hf at (0.025, 0.000, 0.253), Hf at (0.088, 0.500, 0.934), Hf at (0.153, 0.500, 0.446), Hf at (0.182, 0.000, 0.787), Mn at (0.000, 0.500, 0.500) and Au at (0.205, 0.000, 0.233).

The value obtained for the formation enthalpy at 0 K is -12.4 kJ/mol of atoms. For the size of the total moment, the calculation gives 0.00 μB per formula unit. The uncorrected energy comes out at -8.7964 eV/atom.

***

A plane-wave DFT calculation with GGA-PBE was carried out for a geometry-optimized OsPb structure.

The structure belongs to space group P6_3/m (No. 176); the cell edges are 10.4263, 10.4263 and 4.1073 Å and the angles 90.00°, 90.00° and 120.00°. Symmetry generates all atoms from Os at (0.0026, 0.4450, 0.2500) and Pb at (0.1654, 0.7699, 0.2500).

The value obtained for the formation enthalpy at 0 K is 89.8 kJ/mol of atoms. For the size of the total moment, the calculation gives 0.00 μB per formula unit. The uncorrected energy comes out at -6.5384 eV/atom.